14
Lattice="9.038 0.000 0.000 0.000 5.369 -2.484 0.000 -0.330 6.331" Properties=species:S:1:pos:R:3 comment="Li4Tl2Hg (PBE, optimized geometry)" final_energy_ev_per_atom=-1.946 dos_at_fermi_per_ev_fu=3.78 crystal_system=orthorhombic magnetic_moment_mub_per_fu=0.000 spacegroup="Cmce, No. 64" pbc="T T T"
Li 2.264 4.041 -1.870
Li 6.778 -0.152 3.160
Li 6.774 1.329 -0.615
Li 2.259 2.506 1.930
Li 2.255 1.356 -0.627
Li 2.259 5.191 0.687
Li 6.783 4.013 -1.857
Li 6.778 2.533 1.917
Tl 0.000 3.382 0.266
Tl 4.519 4.342 2.339
Tl 0.000 1.657 3.581
Tl 4.519 0.698 1.508
Hg 4.519 2.685 -1.242
Hg 0.000 0.000 0.000